VASP calculation (PBE) on a relaxed SmMgNb crystal.

a b c (Å): 4.853 4.853 4.853
angles (deg): 60.00 60.00 60.00
Atoms (fractional coordinates):
Sm 0.000 0.000 0.000
Mg 0.750 0.750 0.750
Nb 0.500 0.500 0.500

Results
Calculated density   5.50 g/cm3
Polymorph energy (0 for the lowest one)   0 meV per atom